Entry i
## BeNbSbTe (GGA-PBE)

Data for a geometry-optimized BeNbSbTe structure. Values from VASP.

Computed properties:
The calculation puts the density at 7.09 Mg/m³. Its space-group type is F-43m, No. 216.

Geometry as Quantum ESPRESSO input:
```
&SYSTEM
  ibrav = 0, nat = 16, ntyp = 4
/
ATOMIC_SPECIES
Be 9.01 Be.upf
Nb 92.91 Nb.upf
Sb 121.76 Sb.upf
Te 127.60 Te.upf
CELL_PARAMETERS angstrom
6.905 0.000 0.000
0.000 6.905 0.000
0.000 0.000 6.905
ATOMIC_POSITIONS crystal
Be 0.000 0.000 0.000
Be 0.000 0.500 0.500
Be 0.500 0.000 0.500
Be 0.500 0.500 0.000
Nb 0.250 0.250 0.750
Nb 0.250 0.750 0.250
Nb 0.750 0.250 0.250
Nb 0.750 0.750 0.750
Sb 0.000 0.000 0.500
Sb 0.000 0.500 0.000
Sb 0.500 0.000 0.000
Sb 0.500 0.500 0.500
Te 0.250 0.250 0.250
Te 0.250 0.750 0.750
Te 0.750 0.250 0.750
Te 0.750 0.750 0.250
```

---

Entry ii
## BeNbSbTe (GGA-PBE)

Data for a geometry-optimized BeNbSbTe structure. Values from VASP.

Computed properties:
The calculation puts the density at 7.24 Mg/m³. Its space-group type is F-43m, No. 216.

Geometry as Quantum ESPRESSO input:
```
&SYSTEM
  ibrav = 0, nat = 16, ntyp = 4
/
ATOMIC_SPECIES
Be 9.01 Be.upf
Nb 92.91 Nb.upf
Sb 121.76 Sb.upf
Te 127.60 Te.upf
CELL_PARAMETERS angstrom
6.855 0.000 0.000
0.000 6.855 0.000
0.000 0.000 6.855
ATOMIC_POSITIONS crystal
Be 0.000 0.000 0.000
Be 0.000 0.500 0.500
Be 0.500 0.000 0.500
Be 0.500 0.500 0.000
Nb 0.000 0.000 0.500
Nb 0.000 0.500 0.000
Nb 0.500 0.000 0.000
Nb 0.500 0.500 0.500
Sb 0.250 0.250 0.750
Sb 0.250 0.750 0.250
Sb 0.750 0.250 0.250
Sb 0.750 0.750 0.750
Te 0.250 0.250 0.250
Te 0.250 0.750 0.750
Te 0.750 0.250 0.750
Te 0.750 0.750 0.250
```

---

How do the energies compare? Relative to the most stable structure, in meV per atom: entry i 333; entry ii 0.